Entry 1:
Pm2Tm2Sn2C after structural relaxation. Source: Alexandria via LeMat-Bulk, functional PBE.

```
data_Pm2Tm2Sn2C
_cell_length_a 8.833
_cell_length_b 8.833
_cell_length_c 8.833
_cell_angle_alpha 148.69
_cell_angle_beta 148.69
_cell_angle_gamma 44.86
_space_group_name_H-M_alt 'P 1'
_space_group_IT_number 1
loop_
_space_group_symop_operation_xyz
'x,y,z'
loop_
_atom_site_label
_atom_site_type_symbol
_atom_site_fract_x
_atom_site_fract_y
_atom_site_fract_z
Pm1 Pm 0.160 0.160 0.000
Pm2 Pm 0.840 0.840 0.000
Tm1 Tm 0.000 0.500 0.500
Tm2 Tm 0.500 0.000 0.500
Sn1 Sn 0.364 0.364 0.000
Sn2 Sn 0.636 0.636 0.000
C1 C 0.000 0.000 0.000
```

## Properties
total DFT energy (no corrections): -40.79 eV/f.u.
N(E_F): 0.5 states/eV per cell

---

Entry 2:
SrPm3C8 after structural relaxation. Source: Alexandria via LeMat-Bulk, functional PBE.

```
data_SrPm3C8
_cell_length_a 6.508
_cell_length_b 6.501
_cell_length_c 7.199
_cell_angle_alpha 56.45
_cell_angle_beta 56.36
_cell_angle_gamma 67.20
_space_group_name_H-M_alt 'P 1'
_space_group_IT_number 1
loop_
_space_group_symop_operation_xyz
'x,y,z'
loop_
_atom_site_label
_atom_site_type_symbol
_atom_site_fract_x
_atom_site_fract_y
_atom_site_fract_z
Sr1 Sr 0.000 0.000 0.000
Pm1 Pm 0.249 0.249 0.251
Pm2 Pm 0.500 0.500 0.500
Pm3 Pm 0.749 0.749 0.751
C1 C 0.079 0.427 0.921
C2 C 0.122 0.588 0.412
C3 C 0.413 0.879 0.587
C4 C 0.427 0.079 0.573
C5 C 0.574 0.922 0.078
C6 C 0.588 0.122 0.878
C7 C 0.879 0.413 0.121
C8 C 0.922 0.574 0.426
```

## Properties
total DFT energy (no corrections): -88.16 eV/f.u.
N(E_F): 3.8 states/eV per cell

---

Entry 3:
PmTaC2 after structural relaxation. Source: Alexandria via LeMat-Bulk, functional PBE.

```
data_PmTaC2
_cell_length_a 6.075
_cell_length_b 6.075
_cell_length_c 6.075
_cell_angle_alpha 32.02
_cell_angle_beta 32.02
_cell_angle_gamma 32.02
_space_group_name_H-M_alt 'P 1'
_space_group_IT_number 1
loop_
_space_group_symop_operation_xyz
'x,y,z'
loop_
_atom_site_label
_atom_site_type_symbol
_atom_site_fract_x
_atom_site_fract_y
_atom_site_fract_z
Pm1 Pm 0.000 0.000 0.000
Ta1 Ta 0.500 0.500 0.500
C1 C 0.236 0.236 0.236
C2 C 0.764 0.764 0.764
```

## Properties
offset from the most stable computed form: 0.0 meV/atom
N(E_F): 0.8 states/eV per cell

---

Entry 4:
Pm2TaC2 after structural relaxation. Source: Alexandria via LeMat-Bulk, functional PBE.

```
data_Pm2TaC2
_cell_length_a 8.881
_cell_length_b 6.692
_cell_length_c 6.070
_cell_angle_alpha 90.00
_cell_angle_beta 100.84
_cell_angle_gamma 90.00
_space_group_name_H-M_alt 'P 1'
_space_group_IT_number 1
loop_
_space_group_symop_operation_xyz
'x,y,z'
loop_
_atom_site_label
_atom_site_type_symbol
_atom_site_fract_x
_atom_site_fract_y
_atom_site_fract_z
Pm1 Pm 0.038 0.242 0.016
Pm2 Pm 0.038 0.258 0.516
Pm3 Pm 0.323 0.622 0.894
Pm4 Pm 0.323 0.878 0.394
Pm5 Pm 0.677 0.122 0.606
Pm6 Pm 0.677 0.378 0.106
Pm7 Pm 0.962 0.742 0.484
Pm8 Pm 0.962 0.758 0.984
Ta1 Ta 0.375 0.121 0.861
Ta2 Ta 0.375 0.379 0.361
Ta3 Ta 0.625 0.621 0.639
Ta4 Ta 0.625 0.879 0.139
C1 C 0.158 0.539 0.273
C2 C 0.158 0.961 0.773
C3 C 0.485 0.123 0.217
C4 C 0.485 0.377 0.717
C5 C 0.515 0.623 0.283
C6 C 0.515 0.877 0.783
C7 C 0.842 0.039 0.227
C8 C 0.842 0.461 0.727
```

## Properties
total DFT energy (no corrections): -40.80 eV/f.u.
N(E_F): 10.1 states/eV per cell

---

Entry 5:
PmTa2C3 after structural relaxation. Source: Alexandria via LeMat-Bulk, functional PBE.

```
data_PmTa2C3
_cell_length_a 6.340
_cell_length_b 6.340
_cell_length_c 8.916
_cell_angle_alpha 90.00
_cell_angle_beta 90.00
_cell_angle_gamma 148.58
_space_group_name_H-M_alt 'P 1'
_space_group_IT_number 1
loop_
_space_group_symop_operation_xyz
'x,y,z'
loop_
_atom_site_label
_atom_site_type_symbol
_atom_site_fract_x
_atom_site_fract_y
_atom_site_fract_z
Pm1 Pm 0.185 0.815 0.750
Pm2 Pm 0.815 0.185 0.250
Ta1 Ta 0.075 0.925 0.250
Ta2 Ta 0.500 0.500 0.000
Ta3 Ta 0.500 0.500 0.500
Ta4 Ta 0.925 0.075 0.750
C1 C 0.120 0.880 0.029
C2 C 0.120 0.880 0.471
C3 C 0.472 0.528 0.250
C4 C 0.528 0.472 0.750
C5 C 0.880 0.120 0.529
C6 C 0.880 0.120 0.971
```

## Properties
total DFT energy (no corrections): -55.58 eV/f.u.
N(E_F): 6.2 states/eV per cell

---

Entry 6:
Pm2Ta2C3 after structural relaxation. Source: Alexandria via LeMat-Bulk, functional PBE.

```
data_Pm2Ta2C3
_cell_length_a 6.345
_cell_length_b 6.345
_cell_length_c 5.952
_cell_angle_alpha 110.50
_cell_angle_beta 110.50
_cell_angle_gamma 31.57
_space_group_name_H-M_alt 'P 1'
_space_group_IT_number 1
loop_
_space_group_symop_operation_xyz
'x,y,z'
loop_
_atom_site_label
_atom_site_type_symbol
_atom_site_fract_x
_atom_site_fract_y
_atom_site_fract_z
Pm1 Pm 0.108 0.108 0.325
Pm2 Pm 0.892 0.892 0.675
Ta1 Ta 0.348 0.348 0.173
Ta2 Ta 0.652 0.652 0.827
C1 C 0.246 0.246 0.776
C2 C 0.500 0.500 0.500
C3 C 0.754 0.754 0.224
```

## Properties
total DFT energy (no corrections): -63.43 eV/f.u.
N(E_F): 4.5 states/eV per cell

---

Entry 7:
PmTa2C after structural relaxation. Source: Alexandria via LeMat-Bulk, functional PBE.

```
data_PmTa2C
_cell_length_a 8.881
_cell_length_b 8.881
_cell_length_c 8.881
_cell_angle_alpha 20.48
_cell_angle_beta 20.48
_cell_angle_gamma 20.48
_space_group_name_H-M_alt 'P 1'
_space_group_IT_number 1
loop_
_space_group_symop_operation_xyz
'x,y,z'
loop_
_atom_site_label
_atom_site_type_symbol
_atom_site_fract_x
_atom_site_fract_y
_atom_site_fract_z
Pm1 Pm 0.000 0.000 0.000
Ta1 Ta 0.121 0.121 0.121
Ta2 Ta 0.879 0.879 0.879
C1 C 0.500 0.500 0.500
```

## Properties
total DFT energy (no corrections): -37.50 eV/f.u.
N(E_F): 3.6 states/eV per cell

---

Entry 8:
PmTaC after structural relaxation. Source: Alexandria via LeMat-Bulk, functional PBE.

```
data_PmTaC
_cell_length_a 3.174
_cell_length_b 5.567
_cell_length_c 5.567
_cell_angle_alpha 32.23
_cell_angle_beta 90.00
_cell_angle_gamma 90.00
_space_group_name_H-M_alt 'P 1'
_space_group_IT_number 1
loop_
_space_group_symop_operation_xyz
'x,y,z'
loop_
_atom_site_label
_atom_site_type_symbol
_atom_site_fract_x
_atom_site_fract_y
_atom_site_fract_z
Pm1 Pm 0.000 0.000 0.000
Ta1 Ta 0.500 0.736 0.736
C1 C 0.000 0.259 0.259
```

## Properties
total DFT energy (no corrections): -26.06 eV/f.u.
N(E_F): 1.5 states/eV per cell

---

Entry 9:
PmTaC2 after structural relaxation. Source: Alexandria via LeMat-Bulk, functional PBE.

```
data_PmTaC2
_cell_length_a 3.683
_cell_length_b 4.259
_cell_length_c 7.947
_cell_angle_alpha 90.00
_cell_angle_beta 90.00
_cell_angle_gamma 90.00
_space_group_name_H-M_alt 'P 1'
_space_group_IT_number 1
loop_
_space_group_symop_operation_xyz
'x,y,z'
loop_
_atom_site_label
_atom_site_type_symbol
_atom_site_fract_x
_atom_site_fract_y
_atom_site_fract_z
Pm1 Pm 0.250 0.250 0.157
Pm2 Pm 0.750 0.750 0.843
Ta1 Ta 0.250 0.250 0.583
Ta2 Ta 0.750 0.750 0.417
C1 C 0.250 0.250 0.841
C2 C 0.250 0.750 0.561
C3 C 0.750 0.250 0.439
C4 C 0.750 0.750 0.159
```

## Properties
offset from the most stable computed form: 4.1 meV/atom
N(E_F): 1.5 states/eV per cell

---

Entry 10:
PmTa2TcC4 after structural relaxation. Source: Alexandria via LeMat-Bulk, functional PBE.

```
data_PmTa2TcC4
_cell_length_a 5.930
_cell_length_b 5.930
_cell_length_c 11.202
_cell_angle_alpha 90.00
_cell_angle_beta 90.00
_cell_angle_gamma 147.82
_space_group_name_H-M_alt 'P 1'
_space_group_IT_number 1
loop_
_space_group_symop_operation_xyz
'x,y,z'
loop_
_atom_site_label
_atom_site_type_symbol
_atom_site_fract_x
_atom_site_fract_y
_atom_site_fract_z
Pm1 Pm 0.105 0.895 0.750
Pm2 Pm 0.895 0.105 0.250
Ta1 Ta 0.371 0.629 0.538
Ta2 Ta 0.371 0.629 0.962
Ta3 Ta 0.629 0.371 0.038
Ta4 Ta 0.629 0.371 0.462
Tc1 Tc 0.160 0.840 0.250
Tc2 Tc 0.840 0.160 0.750
C1 C 0.000 0.000 0.000
C2 C 0.000 0.000 0.500
C3 C 0.263 0.737 0.111
C4 C 0.263 0.737 0.389
C5 C 0.436 0.564 0.750
C6 C 0.564 0.436 0.250
C7 C 0.737 0.263 0.611
C8 C 0.737 0.263 0.889
```

## Properties
total DFT energy (no corrections): -77.53 eV/f.u.
N(E_F): 4.9 states/eV per cell

---

Entry 11:
PmTa2WC4 after structural relaxation. Source: Alexandria via LeMat-Bulk, functional PBE.

```
data_PmTa2WC4
_cell_length_a 6.022
_cell_length_b 6.022
_cell_length_c 11.379
_cell_angle_alpha 90.00
_cell_angle_beta 90.00
_cell_angle_gamma 148.62
_space_group_name_H-M_alt 'P 1'
_space_group_IT_number 1
loop_
_space_group_symop_operation_xyz
'x,y,z'
loop_
_atom_site_label
_atom_site_type_symbol
_atom_site_fract_x
_atom_site_fract_y
_atom_site_fract_z
Pm1 Pm 0.105 0.895 0.750
Pm2 Pm 0.895 0.105 0.250
Ta1 Ta 0.373 0.627 0.535
Ta2 Ta 0.373 0.627 0.965
Ta3 Ta 0.627 0.373 0.035
Ta4 Ta 0.627 0.373 0.465
W1 W 0.161 0.839 0.250
W2 W 0.839 0.161 0.750
C1 C 0.000 0.000 0.000
C2 C 0.000 0.000 0.500
C3 C 0.263 0.737 0.110
C4 C 0.263 0.737 0.390
C5 C 0.442 0.558 0.750
C6 C 0.558 0.442 0.250
C7 C 0.737 0.263 0.610
C8 C 0.737 0.263 0.890
```

## Properties
total DFT energy (no corrections): -80.03 eV/f.u.
N(E_F): 3.4 states/eV per cell

---

Entry 12:
Tb2PmC after structural relaxation. Source: Alexandria via LeMat-Bulk, functional PBE.

```
data_Tb2PmC
_cell_length_a 10.073
_cell_length_b 10.073
_cell_length_c 10.073
_cell_angle_alpha 20.30
_cell_angle_beta 20.30
_cell_angle_gamma 20.30
_space_group_name_H-M_alt 'P 1'
_space_group_IT_number 1
loop_
_space_group_symop_operation_xyz
'x,y,z'
loop_
_atom_site_label
_atom_site_type_symbol
_atom_site_fract_x
_atom_site_fract_y
_atom_site_fract_z
Tb1 Tb 0.121 0.121 0.121
Tb2 Tb 0.879 0.879 0.879
Pm1 Pm 0.000 0.000 0.000
C1 C 0.500 0.500 0.500
```

## Properties
offset from the most stable computed form: 85.6 meV/atom
N(E_F): 4.4 states/eV per cell

---

no.,magnetic moment (μB/f.u.)
1,0.00
2,0.00
3,0.00
4,0.00
5,0.00
6,0.00
7,0.00
8,0.00
9,0.00
10,0.00
11,0.00
12,0.00